No. 1
DFT (PBEsol) results for a relaxed structure of KAs2Rh2.

## Properties
Electronic total energy: -6.1207 eV/atom
Total magnetization: 0.00 μB per formula unit
Energy of formation from the pure elements: -0.60 eV per atom

abc: 3.9726 3.9726 13.0705
angles: 90.00 90.00 90.00
Last column: nearest neighbours and their distance in Å.
Space group I4/mmm (No. 139)
Symmetry-distinct sites (fractional):
K  0.0000  0.0000  0.0000 x2  8 As 3.38
As  0.0000  0.0000  0.3557 x4  4 Rh 2.42
Rh  0.0000  0.5000  0.2500 x4  4 As 2.42

=====

No. 2
DFT (PBEsol) results for a relaxed structure of KAs4Ru.

## Properties
Electronic total energy: -4.6715 eV/atom
Total magnetization: 1.94 μB per formula unit
Energy of formation from the pure elements: 0.62 eV per atom

abc: 7.8079 7.8079 7.8079
angles: 90.00 90.00 90.00
Last column: nearest neighbours and their distance in Å.
Space group F-43m (No. 216)
Symmetry-distinct sites (fractional):
K  0.0000  0.0000  0.0000 x4  12 As 3.24, 4 Ru 3.38
As  0.1237  0.1237  0.3763 x16  6 As 2.73-2.79
Ru  0.2500  0.2500  0.7500 x4  12 As 3.23, 4 K 3.38

=====

No. 3
DFT (PBEsol) results for a relaxed structure of K2AsRu.

## Properties
Electronic total energy: -3.6843 eV/atom
Total magnetization: 0.16 μB per formula unit
Energy of formation from the pure elements: 0.70 eV per atom

abc: 2.7893 2.7893 10.6949
angles: 90.00 90.00 90.00
Last column: nearest neighbours and their distance in Å.
Space group P4/mmm (No. 123)
Symmetry-distinct sites (fractional):
K  0.0000  0.0000  0.2454 x2  4 K 2.79
As  0.5000  0.5000  0.0000 x1  4 As 2.79
Ru  0.5000  0.5000  0.5000 x1  4 Ru 2.79

=====

No. 4
DFT (PBEsol) results for a relaxed structure of KAs2Ru2.

## Properties
Electronic total energy: -6.6921 eV/atom
Total magnetization: 0.00 μB per formula unit
Energy of formation from the pure elements: -0.35 eV per atom

abc: 4.0392 4.0392 12.5932
angles: 90.00 90.00 90.00
Last column: nearest neighbours and their distance in Å.
Space group I4/mmm (No. 139)
Symmetry-distinct sites (fractional):
K  0.0000  0.0000  0.0000 x2  8 As 3.39, 8 Ru 3.74
As  0.0000  0.0000  0.3543 x4  4 Ru 2.41
Ru  0.0000  0.5000  0.2500 x4  4 As 2.41

=====

No. 5
DFT (PBEsol) results for a relaxed structure of K3AsS3.

## Properties
Electronic total energy: -4.0451 eV/atom
Formation energy (no corrections): -0.951 eV/atom
Total magnetization: 0.00 μB per formula unit

abc: 9.3021 9.3021 9.3021
angles: 90.00 90.00 90.00
Last column: nearest neighbours and their distance in Å.
Space group P2_13 (No. 198)
Symmetry-distinct sites (fractional):
K  0.0615  0.4385  0.5615 x4  6 S 3.12-3.22, 1 As 3.43
K  0.0642  0.5642  0.9358 x4  6 S 3.10-3.27
K  0.1741  0.1741  0.1741 x4  6 S 3.35-3.51
As  0.2255  0.7745  0.2745 x4  3 S 2.27
S  0.0421  0.2436  0.8468 x12  1 As 2.27

=====

No. 6
DFT (PBEsol) results for a relaxed structure of K2AsS.

## Properties
Electronic total energy: -3.2957 eV/atom
Formation energy (no corrections): -0.356 eV/atom
Total magnetization: 0.00 μB per formula unit

abc: 11.6006 11.6006 4.9642
angles: 90.00 90.00 90.00
Last column: nearest neighbours and their distance in Å.
Space group I-42d (No. 122)
Symmetry-distinct sites (fractional):
K  0.0340  0.2500  0.1250 x8  2 S 2.99
As  0.0000  0.0000  0.5000 x4  2 S 2.48
S  0.0000  0.0000  0.0000 x4  2 As 2.48